11
Lattice="3.840 0.000 0.000 0.000 8.896 0.000 -1.920 -4.448 8.279" Properties=species:S:1:pos:R:3 comment="Sm4Dy3Pt4 PBE relaxed" m_tot_mub_per_fu=0.00 delta_e_f_ev_per_atom=-0.84 dft_energy_ev_per_atom=-6.00 pbc="T T T"
Pt 1.920 7.136 0.000
Pt 1.920 1.760 0.000
Pt 0.000 4.448 4.291
Pt 1.920 0.000 3.988
Sm 0.000 -1.659 5.552
Sm 1.920 6.107 2.727
Sm 0.000 1.659 5.552
Sm 1.920 2.789 2.727
Dy 0.000 4.448 0.000
Dy 0.000 0.000 1.628
Dy 1.920 4.448 6.650